1.
DFT (PBE) results for crystalline CsReTe4Au3 at its relaxed geometry.

Values from the calculation:
**Uncorrected energy**: -35.00 eV/cell

Geometry as extended XYZ:
```
9
Lattice="6.9227 0.0000 0.0000 0.0000 6.9227 0.0000 0.0000 0.0000 6.9227" Properties=species:S:1:pos:R:3 pbc="T T T"
Cs 0.0000 0.0000 0.0000
Re 3.4614 3.4614 3.4614
Te 1.9964 1.9964 1.9964
Te 1.9964 4.9263 4.9263
Te 4.9263 1.9964 4.9263
Te 4.9263 4.9263 1.9964
Au 0.0000 3.4614 3.4614
Au 3.4614 0.0000 3.4614
Au 3.4614 3.4614 0.0000
```

=====

2.
DFT (PBE) results for crystalline SrCdHg2 at its relaxed geometry.

Values from the calculation:
**Uncorrected energy**: -4.43 eV/cell

Geometry as extended XYZ:
```
4
Lattice="0.0000 3.7800 3.7800 3.7800 0.0000 3.7800 3.7800 3.7800 0.0000" Properties=species:S:1:pos:R:3 pbc="T T T"
Sr 0.0000 0.0000 0.0000
Cd 1.8900 1.8900 1.8900
Hg 3.7800 3.7800 3.7800
Hg 5.6701 5.6701 5.6701
```

=====

3.
DFT (PBE) results for crystalline HoAgS2 at its relaxed geometry.

Values from the calculation:
**Uncorrected energy**: -83.97 eV/cell

Geometry as extended XYZ:
```
16
Lattice="13.4745 0.0000 0.0000 0.0000 4.0638 0.0000 0.0000 0.0000 6.6258" Properties=species:S:1:pos:R:3 pbc="T T T"
Ho 1.8404 1.0159 0.0375
Ho 4.8968 3.0478 3.3504
Ho 8.5777 1.0159 3.2754
Ho 11.6341 3.0478 6.5883
Ag 0.9636 3.0478 3.8930
Ag 5.7736 1.0159 0.5801
Ag 7.7009 3.0478 6.0457
Ag 12.5109 1.0159 2.7328
S 0.5090 3.0478 1.4067
S 3.0099 3.0478 5.3261
S 3.7274 1.0159 2.0133
S 6.2282 1.0159 4.7196
S 7.2463 3.0478 1.9062
S 9.7471 3.0478 4.6125
S 10.4646 1.0159 1.2996
S 12.9655 1.0159 5.2191
```

=====

Question: Among the records above, which one has the lowest uncorrected energy?
Answer: HoAgS2